1.
An optimized crystal structure of ZrTcHg2, computed with PBE.

Calculated values
- energy of formation from the pure elements (kJ/mol of formula units) = 56

a b c (Å): 3.3221 3.3221 26.9396
angles (deg): 90.00 90.00 120.00
With the nearest neighbours (Å) after each atom.
Space group R3m (No. 160, hexagonal axes)
Asymmetric unit:
Zr1 0.0000 0.0000 0.0000 x3  3 Tc 2.63
Tc1 0.0000 0.0000 0.2666 x3  3 Zr 2.63, 3 Hg 2.93
Hg1 0.0000 0.0000 0.5179 x3  3 Tc 2.93, 3 Hg 3.15
Hg2 0.0000 0.0000 0.7584 x3  3 Zr 3.13, 9 Hg 3.15-3.32

=====

2.
An optimized crystal structure of SrLaTl, computed with PBE.

Calculated values
- energy of formation from the pure elements (kJ/mol of formula units) = -72

a b c (Å): 12.2329 5.6140 7.2240
angles (deg): 90.00 118.43 90.00
With the nearest neighbours (Å) after each atom.
Space group C2/m (No. 12)
Asymmetric unit:
Sr1 0.1844 0.0000 0.1126 x4  4 Tl 3.47-3.80, 3 La 3.81-3.85
La1 0.0557 0.5000 0.3204 x4  3 Tl 3.34-3.41, 1 La 3.46
Tl1 0.1470 0.0000 0.6049 x4  1 Tl 3.17, 3 La 3.34-3.41, 3 Sr 3.47-3.51

=====

3.
An optimized crystal structure of LiZn14Ga, computed with PBE.

Calculated values
- energy of formation from the pure elements (kJ/mol of formula units) = -26

a b c (Å): 5.7053 5.7053 7.4981
angles (deg): 90.00 90.00 90.00
With the nearest neighbours (Å) after each atom.
Space group P4/mmm (No. 123)
Asymmetric unit:
Li1 0.0000 0.0000 0.0000 x1  12 Zn 2.75-2.85
Zn1 0.0000 0.0000 0.5000 x1  12 Zn 2.72-2.85
Zn2 0.0000 0.5000 0.0000 x2  8 Zn 2.77, 2 Li 2.85, 2 Ga 2.85
Zn3 0.0000 0.5000 0.5000 x2  12 Zn 2.74-2.85
Zn4 0.2465 0.2465 0.2532 x8  10 Zn 2.72-2.89, 1 Li 2.75, 1 Ga 2.79
Zn5 0.5000 0.5000 0.5000 x1  12 Zn 2.76-2.85
Ga1 0.5000 0.5000 0.0000 x1  12 Zn 2.79-2.85

=====

4.
An optimized crystal structure of BeIn2Cu, computed with PBE.

Calculated values
- energy of formation from the pure elements (kJ/mol of formula units) = 105

a b c (Å): 3.0043 4.2082 11.5711
angles (deg): 90.00 90.00 90.00
With the nearest neighbours (Å) after each atom.
Space group Imm2 (No. 44)
Asymmetric unit:
Be1 0.0000 0.0000 0.0000 x2  2 Cu 2.29
In1 0.0000 0.0000 0.4666 x2  4 Be 2.61
In2 0.0000 0.5000 0.2511 x2  4 Cu 2.84, 2 In 3.00
Cu1 0.0000 0.5000 0.6497 x2  2 Be 2.29

=====

5.
An optimized crystal structure of Tb3CeCd6, computed with PBE.

Calculated values
- energy of formation from the pure elements (kJ/mol of formula units) = -236

a b c (Å): 9.2138 5.2286 11.2018
angles (deg): 90.00 107.05 90.00
With the nearest neighbours (Å) after each atom.
Space group P2_1/m (No. 11)
Asymmetric unit:
Tb1 0.0351 0.2500 0.3876 x2  8 Cd 3.13-3.38
Tb2 0.1507 0.7500 0.2109 x2  8 Cd 3.16-3.28
Tb3 0.2619 0.2500 0.9923 x2  8 Cd 3.14-3.28
Ce1 0.4462 0.2500 0.6024 x2  8 Cd 3.18-3.42
Cd1 0.0414 0.7500 0.9113 x2  7 Tb 3.21-3.28, 3 Cd 3.39-3.50
Cd2 0.1552 0.2500 0.6995 x2  5 Tb 3.14-3.34, 1 Ce 3.18, 2 Cd 3.21
Cd3 0.2462 0.7500 0.5100 x2  4 Tb 3.13-3.31, 3 Ce 3.19-3.42, 1 Cd 3.19
Cd4 0.3486 0.2500 0.2894 x2  4 Tb 3.16-3.38, 1 Cd 3.24, 3 Ce 3.25-3.35
Cd5 0.3527 0.7500 0.8082 x2  8 Cd 3.13-3.39
Cd6 0.4429 0.7500 0.1000 x2  3 Cd 3.13-3.21, 4 Tb 3.15-3.28, 1 Ce 3.19

=====

6.
An optimized crystal structure of Nd4MgAg2, computed with PBE.

Calculated values
- energy of formation from the pure elements (kJ/mol of formula units) = 15

a b c (Å): 5.3247 5.3247 26.5606
angles (deg): 90.00 90.00 120.00
With the nearest neighbours (Å) after each atom.
Space group R-3m (No. 166, hexagonal axes)
Asymmetric unit:
Nd1 0.0000 0.0000 0.1236 x6  3 Mg 3.28, 3 Ag 3.42
Nd2 0.0000 0.0000 0.2860 x6  4 Ag 3.04-3.12
Mg1 0.0000 0.0000 0.5000 x3  2 Ag 2.64
Ag1 0.0000 0.0000 0.4006 x6  1 Mg 2.64

=====

7.
An optimized crystal structure of CsUCd2Br8, computed with PBE.

Calculated values
- uncorrected formation energy (eV/atom) = -1.1294

a b c (Å): 7.1734 7.1734 10.6337
angles (deg): 90.00 90.00 120.00
With the nearest neighbours (Å) after each atom.
Space group P-3 (No. 147)
Asymmetric unit:
Cs1 0.0000 0.0000 0.0000 x1  12 Br 4.14-4.25
U1 0.0000 0.0000 0.5000 x1  6 Br 2.91
Cd1 0.3333 0.6667 0.7528 x2  4 Br 2.55-2.69
Br1 0.0177 0.6859 0.3348 x6  1 Cd 2.69, 1 U 2.91
Br2 0.3333 0.6667 0.9927 x2  1 Cd 2.55

=====

8.
An optimized crystal structure of PrSmMgGa, computed with PBE.

Calculated values
- energy of formation from the pure elements (kJ/mol of formula units) = -128

a b c (Å): 7.5283 7.5283 7.5283
angles (deg): 90.00 90.00 90.00
With the nearest neighbours (Å) after each atom.
Space group F-43m (No. 216)
Asymmetric unit:
Pr1 0.0000 0.0000 0.0000 x4  4 Mg 3.26, 4 Ga 3.26
Sm1 0.0000 0.0000 0.5000 x4  4 Ga 3.26, 4 Mg 3.26
Mg1 0.2500 0.2500 0.2500 x4  4 Pr 3.26, 4 Sm 3.26
Ga1 0.2500 0.2500 0.7500 x4  4 Pr 3.26, 4 Sm 3.26

=====

9.
An optimized crystal structure of Pr2Nd4Er7, computed with PBE.

Calculated values
- energy of formation from the pure elements (kJ/mol of formula units) = 234

a b c (Å): 6.6174 8.5668 8.6306
angles (deg): 69.21 78.50 77.20
With the nearest neighbours (Å) after each atom.
Space group P-1 (No. 2)
Asymmetric unit:
Pr1 0.2442 0.0528 0.4768 x2  2 Er 3.32-3.36, 2 Pr 3.37-3.46, 2 Nd 3.58-3.69
Nd1 0.0660 0.6886 0.8468 x2  7 Er 3.50-3.91, 1 Nd 3.53, 2 Pr 3.58-3.79
Nd2 0.4202 0.3037 0.6786 x2  5 Er 3.26-3.60
Er1 0.0000 0.5000 0.5000 x1  4 Er 3.26-3.42, 2 Nd 3.28
Er2 0.0703 0.8732 0.1909 x2  4 Er 3.28-3.55, 1 Pr 3.36, 2 Nd 3.57-3.60
Er3 0.3594 0.4723 0.1869 x2  5 Er 3.25-3.62, 3 Nd 3.26-3.55
Er4 0.4723 0.8784 0.8974 x2  4 Er 3.25-3.62, 1 Pr 3.32, 3 Nd 3.43-3.60

=====

10.
An optimized crystal structure of HfAgPb, computed with PBE.

Calculated values
- energy of formation from the pure elements (kJ/mol of formula units) = 35

a b c (Å): 3.2974 3.2974 12.4658
angles (deg): 90.00 90.00 90.00
With the nearest neighbours (Å) after each atom.
Space group I4mm (No. 107)
Asymmetric unit:
Hf1 0.0000 0.0000 0.0000 x2  4 Ag 2.95, 4 Pb 3.26, 4 Hf 3.30
Ag1 0.0000 0.0000 0.6445 x2  4 Hf 2.95, 4 Pb 3.18, 4 Ag 3.30
Pb1 0.0000 0.0000 0.3176 x2  4 Ag 3.18, 4 Hf 3.26, 4 Pb 3.30

=====

11.
An optimized crystal structure of LaCoHg3, computed with PBE.

Calculated values
- energy of formation from the pure elements (kJ/mol of formula units) = -17

a b c (Å): 4.9994 4.9994 4.9994
angles (deg): 90.00 90.00 90.00
With the nearest neighbours (Å) after each atom.
Space group Pm-3m (No. 221)
Asymmetric unit:
La1 0.0000 0.0000 0.0000 x1  12 Hg 3.54
Co1 0.5000 0.5000 0.5000 x1  6 Hg 2.50
Hg1 0.0000 0.5000 0.5000 x3  2 Co 2.50

=====

12.
An optimized crystal structure of Tb3AgPb3, computed with PBE.

Calculated values
- energy of formation from the pure elements (kJ/mol of formula units) = -282

a b c (Å): 11.6937 4.6129 15.1517
angles (deg): 90.00 107.72 90.00
With the nearest neighbours (Å) after each atom.
Space group C2/m (No. 12)
Asymmetric unit:
Tb1 0.0272 0.0000 0.3816 x4  6 Pb 3.22-3.41, 3 Ag 3.25-3.55
Tb2 0.0959 0.0000 0.9221 x4  5 Pb 3.14-3.20
Tb3 0.2264 0.0000 0.2275 x4  6 Pb 3.20-3.51, 2 Ag 3.26
Ag1 0.2223 0.5000 0.3784 x4  4 Pb 2.83-3.01
Pb1 0.0004 0.5000 0.2288 x4  1 Ag 2.88, 1 Pb 3.18, 5 Tb 3.20-3.22
Pb2 0.1346 0.5000 0.0752 x4  5 Tb 3.14-3.21, 2 Pb 3.18-3.28
Pb3 0.1417 0.5000 0.5488 x4  3 Ag 2.83-3.01

=====

13.
An optimized crystal structure of GaAg2P2O6, computed with PBE.

Calculated values
- uncorrected formation energy (eV/atom) = -1.1010

a b c (Å): 5.2182 5.2182 7.4708
angles (deg): 90.00 90.00 120.00
With the nearest neighbours (Å) after each atom.
Space group P-3 (No. 147)
Asymmetric unit:
Ga1 0.0000 0.0000 0.0000 x1  6 O 2.86, 6 Ag 3.10
Ag1 0.3333 0.6667 0.8999 x2  3 O 2.39
P1 0.3333 0.6667 0.2963 x2  3 O 1.50
O1 0.0505 0.3747 0.2931 x6  1 P 1.50

=====

14.
An optimized crystal structure of CsLa2Se4, computed with PBE.

Calculated values
- uncorrected formation energy (eV/atom) = -1.6058

a b c (Å): 9.3645 9.3645 9.7258
angles (deg): 90.00 90.00 90.00
With the nearest neighbours (Å) after each atom.
Space group I-42d (No. 122)
Asymmetric unit:
Cs1 0.0000 0.0000 0.0000 x4  8 Se 3.44-3.57
La1 0.1264 0.2500 0.6250 x8  6 Se 3.06-3.21
Se1 0.0879 0.1523 0.3255 x16  3 La 3.06-3.21, 2 Se 3.18-3.29

=====

15.
An optimized crystal structure of FeSbS, computed with PBE.

Calculated values
- uncorrected formation energy (eV/atom) = -0.1085

a b c (Å): 7.5040 6.2554 5.4697
angles (deg): 90.00 107.01 90.00
With the nearest neighbours (Å) after each atom.
Space group P2_1/c (No. 14)
Asymmetric unit:
Fe1 0.0028 0.1351 0.2615 x4  3 S 2.22-2.30
Sb1 0.2735 0.6224 0.0213 x4  3 Fe 2.66-2.68
S1 0.1866 0.1169 0.9949 x4  3 Fe 2.22-2.30

=====

16.
An optimized crystal structure of PrThGe, computed with PBE.

Calculated values
- energy of formation from the pure elements (kJ/mol of formula units) = -87

a b c (Å): 4.7914 4.7914 27.3710
angles (deg): 90.00 90.00 120.00
With the nearest neighbours (Å) after each atom.
Space group R-3m (No. 166, hexagonal axes)
Asymmetric unit:
Pr1 0.0000 0.0000 0.1293 x6  3 Ge 3.05
Th1 0.0000 0.0000 0.2933 x6  4 Ge 3.00-3.35
Ge1 0.0000 0.0000 0.4158 x6  4 Th 3.00-3.35, 3 Pr 3.05

=====

17.
An optimized crystal structure of Tb2ZrTl3, computed with PBE.

Calculated values
- energy of formation from the pure elements (kJ/mol of formula units) = -130

a b c (Å): 3.4206 3.4206 13.1530
angles (deg): 90.00 90.00 90.00
With the nearest neighbours (Å) after each atom.
Space group P4/mmm (No. 123)
Asymmetric unit:
Tb1 0.0000 0.0000 0.1740 x2  8 Tl 3.28-3.33, 4 Tb 3.42
Zr1 0.0000 0.0000 0.5000 x1  8 Tl 3.18, 4 Zr 3.42
Tl1 0.5000 0.5000 0.0000 x1  8 Tb 3.33, 4 Tl 3.42
Tl2 0.5000 0.5000 0.3429 x2  4 Zr 3.18, 4 Tb 3.28, 4 Tl 3.42

=====

18.
An optimized crystal structure of InSe2N2, computed with PBE.

Calculated values
- uncorrected formation energy (eV/atom) = 1.6469

a b c (Å): 4.2978 4.2978 5.6896
angles (deg): 90.00 90.00 90.00
With the nearest neighbours (Å) after each atom.
Space group P4/mmm (No. 123)
Asymmetric unit:
In1 0.0000 0.0000 0.0000 x1  4 N 2.15
Se1 0.0000 0.0000 0.5000 x1  2 In 2.84, 4 Se 3.04
Se2 0.5000 0.5000 0.5000 x1  4 Se 3.04
N1 0.0000 0.5000 0.0000 x2  2 In 2.15

=====

19.
An optimized crystal structure of CaTaGe, computed with PBE.

Calculated values
- energy of formation from the pure elements (kJ/mol of formula units) = -98

a b c (Å): 3.7839 16.3892 4.2998
angles (deg): 90.00 90.00 90.00
With the nearest neighbours (Å) after each atom.
Space group Cmcm (No. 63)
Asymmetric unit:
Ca1 0.0000 0.0811 0.2500 x4  4 Ge 2.99, 2 Ta 3.30
Ta1 0.0000 0.2536 0.7500 x4  4 Ge 2.73-2.84, 4 Ta 2.87
Ge1 0.0000 0.3664 0.2500 x4  4 Ta 2.73-2.84, 4 Ca 2.99

=====

20.
An optimized crystal structure of Th2Be3Si4Au, computed with PBE.

Calculated values
- uncorrected formation energy (eV/atom) = -0.3935

a b c (Å): 4.1406 4.1406 9.6335
angles (deg): 90.00 90.00 90.00
With the nearest neighbours (Å) after each atom.
Space group P-4m2 (No. 115)
Asymmetric unit:
Th1 0.0000 0.5000 0.2374 x2  8 Si 3.08-3.12, 7 Be 3.16-3.38, 2 Au 3.27
Be1 0.0000 0.5000 0.8868 x2  5 Si 2.28-2.34
Be2 0.5000 0.5000 0.5000 x1  4 Si 2.53
Si1 0.0000 0.0000 0.0000 x1  4 Be 2.34
Si2 0.0000 0.5000 0.6504 x2  3 Be 2.28-2.53, 2 Au 2.53
Si3 0.5000 0.5000 0.0000 x1  4 Be 2.34
Au1 0.0000 0.0000 0.5000 x1  4 Si 2.53

=====

21.
An optimized crystal structure of B2IO6, computed with PBE.

Calculated values
- uncorrected formation energy (eV/atom) = -1.2223

a b c (Å): 9.5547 9.1930 4.6766
angles (deg): 90.00 110.62 90.00
With the nearest neighbours (Å) after each atom.
Space group C2/c (No. 15)
Asymmetric unit:
B1 0.2217 0.0754 0.1764 x8  4 O 1.45-1.52
I1 0.0000 0.2434 0.7500 x4  4 O 1.88-1.97
O1 0.1151 0.3875 0.6519 x8  1 B 1.52
O2 0.1327 0.2101 0.1741 x8  1 B 1.50
O3 0.1864 0.0409 0.8500 x8  2 B 1.45-1.48

=====

22.
An optimized crystal structure of Ce5Al, computed with PBE.

Calculated values
- energy of formation from the pure elements (kJ/mol of formula units) = -17

a b c (Å): 5.4763 16.9147 3.2175
angles (deg): 90.00 90.00 90.00
With the nearest neighbours (Å) after each atom.
Space group Cmmm (No. 65)
Asymmetric unit:
Ce1 0.0000 0.0000 0.0000 x2  6 Ce 3.06-3.22, 4 Al 3.18
Ce2 0.0000 0.1536 0.5000 x4  8 Ce 3.06-3.22
Ce3 0.0000 0.3352 0.0000 x4  8 Ce 3.18-3.47, 2 Al 3.22
Al1 0.0000 0.5000 0.5000 x2  8 Ce 3.18-3.22, 2 Al 3.22

=====

23.
An optimized crystal structure of PaTlInS4, computed with PBE.

Calculated values
- uncorrected formation energy (eV/atom) = -0.9369

a b c (Å): 8.2954 9.3736 10.3733
angles (deg): 90.00 90.00 90.00
With the nearest neighbours (Å) after each atom.
Space group Imma (No. 74)
Asymmetric unit:
Pa1 0.2500 0.2500 0.2500 x4  6 S 2.63-2.69
Tl1 0.0000 0.2500 0.6653 x4  4 S 3.01-3.07
In1 0.0000 0.0000 0.0000 x4  6 S 2.85-2.88
S1 0.0000 0.0689 0.2680 x8  2 Pa 2.69, 1 In 2.85
S2 0.2012 0.2500 0.9996 x8  1 Pa 2.63, 2 In 2.88

=====

| no. | total magnetic moment (μB per formula unit) | D(E_F) (states/eV/atom) | electronic total energy (eV/cell) |
| --- | --- | --- | --- |
| 1 | 0.0 | 0.66 | -56.824 |
| 2 | 0.0 | 0.42 | -38.901 |
| 3 | 0.0 | 0.19 | -23.043 |
| 4 | 0.0 | 0.31 | -24.418 |
| 5 | 1.2 | 1.39 | -55.524 |
| 6 | 0.0 | 1.27 | -78.646 |
| 7 | 3.0 | 0.18 | -40.907 |
| 8 | 0.0 | 0.82 | -61.797 |
| 9 | 0.0 | 1.43 | -58.145 |
| 10 | 0.0 | 0.75 | -32.295 |
| 11 | 1.4 | 0.93 | -13.111 |
| 12 | 0.0 | 0.60 | -123.174 |
| 13 | 0.0 | 0.09 | -61.409 |
| 14 | 0.0 | 0.42 | -143.547 |
| 15 | 1.6 | 0.66 | -68.152 |
| 16 | 0.0 | 0.95 | -106.324 |
| 17 | 0.0 | 0.98 | -26.253 |
| 18 | 0.1 | 0.66 | -18.124 |
| 19 | 0.0 | 0.33 | -77.935 |
| 20 | 0.0 | 0.32 | -54.923 |
| 21 | 0.9 | 0.17 | -222.619 |
| 22 | 0.0 | 2.57 | -67.169 |
| 23 | 0.0 | 0.18 | -150.676 |